Material: NaPrTiO4
Method: DFT, PBE-GGA
State: relaxed

```
NaPrTiO4
1.0
-1.903 1.903 6.277
1.903 -1.903 6.277
1.903 1.903 -6.277
Na Pr Ti O
1 1 1 4
Cartesian
0.000 0.000 0.000
0.000 0.000 8.824
0.000 0.000 4.598
0.000 0.000 2.268
1.903 0.000 4.257
0.000 0.000 6.417
0.000 1.903 4.257
```

As for the mass density: 5.0 g/cm³. Its density of states at the Fermi level is 0.000 states/eV per atom. As for the total moment: 0.00 μB/f.u. The crystal system is tetragonal. As for the space group: I4mm.



Material: NaPrTi2O6
Method: DFT, PBE-GGA
State: relaxed

```
NaPrTi2O6
1.0
7.741 0.000 0.000
0.000 5.563 0.000
0.000 0.000 5.471
Na Pr Ti O
2 2 4 12
Cartesian
0.000 1.277 0.000
3.870 4.286 2.735
0.000 3.898 2.785
3.870 1.665 0.049
1.913 1.322 2.807
1.957 4.241 0.071
5.784 4.241 0.071
5.827 1.322 2.807
0.000 1.465 2.348
0.000 4.251 0.348
1.653 5.333 3.834
1.679 2.583 4.210
2.191 2.980 1.475
2.218 0.230 1.098
3.870 1.312 3.084
3.870 4.098 5.083
5.523 0.230 1.098
5.550 2.980 1.475
6.061 2.583 4.210
6.088 5.333 3.834
```

As for the mass density: 5.0 g/cm³. Its density of states at the Fermi level is 0.000 states/eV per atom. As for the total moment: 0.00 μB/f.u. The crystal system is orthorhombic. As for the space group: Pmn2_1.



Material: NaPrZrTiO6
Method: DFT, PBE-GGA
State: relaxed

```
NaPrZrTiO6
1.0
0.000 4.024 4.024
4.024 0.000 4.024
4.024 4.024 0.000
Na Pr Zr Ti O
1 1 1 1 6
Cartesian
0.000 0.000 0.000
4.024 4.024 4.024
2.012 2.012 2.012
6.036 6.036 6.036
6.036 6.036 4.088
6.036 4.088 6.036
7.985 6.036 6.036
4.088 6.036 6.036
6.036 7.985 6.036
6.036 6.036 7.985
```

As for the mass density: 5.1 g/cm³. Its density of states at the Fermi level is 0.000 states/eV per atom. As for the total moment: 0.00 μB/f.u. The crystal system is cubic. As for the space group: F-43m.



Material: NaPrTlO3
Method: DFT, PBE-GGA
State: relaxed

```
NaPrTlO3
1.0
6.537 0.000 0.000
0.000 3.445 0.000
-2.793 0.000 8.691
Na Pr Tl O
2 2 2 6
Cartesian
0.708 0.861 0.818
3.036 2.584 7.873
-0.108 2.584 7.088
3.852 0.861 1.602
0.585 2.584 3.485
3.159 0.861 5.206
-1.894 0.861 7.126
0.555 0.861 5.111
2.365 2.584 0.771
1.378 0.861 7.919
3.189 2.584 3.580
5.638 2.584 1.564
```

As for the mass density: 7.1 g/cm³. Its density of states at the Fermi level is 0.454 states/eV per atom. As for the total moment: 0.00 μB/f.u. The crystal system is monoclinic. As for the space group: P2_1/m.



Material: Na2PrUO6
Method: DFT, PBE-GGA
State: relaxed

```
Na2PrUO6
1.0
5.900 0.000 0.000
0.000 6.058 0.000
-5.887 0.000 8.463
Na Pr U O
4 2 2 12
Cartesian
-0.022 0.229 2.080
-2.965 2.800 6.311
2.978 3.258 2.152
0.035 5.829 6.384
-2.943 0.000 4.232
0.000 3.029 0.000
2.950 0.000 0.000
0.007 3.029 4.232
-4.651 1.062 8.033
-1.708 1.967 3.802
-3.937 4.327 7.933
-0.993 4.761 3.702
-2.307 0.328 6.510
0.637 2.702 2.279
-0.624 3.357 6.185
2.320 5.731 1.953
1.006 1.298 4.762
3.950 1.732 0.530
1.721 4.091 4.662
4.664 4.996 0.430
```

As for the mass density: 5.7 g/cm³. Its density of states at the Fermi level is 1.005 states/eV per atom. As for the total moment: 0.97 μB/f.u. The crystal system is monoclinic. As for the space group: P2_1/c.



In order of appearance, energy = -7.7237 -8.1495 -8.1603 -5.6741 -7.4094 eV/atom.